[1]
# Mg2SnAu (PBE-GGA, relaxed)
# * electronic total energy: -2.935 eV/atom
# * spin magnetization: 0.00 μB per atom
# * DOS(E_F): 0.487 states/eV per atom
# * energy of formation from the pure elements: -1.27 eV per formula unit
data_Mg2SnAu
_cell_length_a 4.415
_cell_length_b 4.415
_cell_length_c 4.186
_cell_angle_alpha 90.00
_cell_angle_beta 90.00
_cell_angle_gamma 90.00
_symmetry_space_group_name_H-M 'P 4/m m m'
_symmetry_Int_Tables_number 123
_symmetry_space_group_name_Hall '-P 4 2'
loop_
_atom_site_label
_atom_site_type_symbol
_atom_site_fract_x
_atom_site_fract_y
_atom_site_fract_z
_atom_site_occupancy
Mg1 Mg 0.000 0.500 0.000 1
Sn1 Sn 0.000 0.000 0.500 1
Au1 Au 0.500 0.500 0.500 1

***

[2]
# Al2GeBiMo (PBE-GGA, relaxed)
# * electronic total energy: -4.840 eV/atom
# * spin magnetization: 0.00 μB per atom
# * DOS(E_F): 0.711 states/eV per atom
# * energy of formation from the pure elements: 2.62 eV per formula unit
data_Al2GeBiMo
_cell_length_a 4.956
_cell_length_b 4.956
_cell_length_c 4.862
_cell_angle_alpha 90.00
_cell_angle_beta 90.00
_cell_angle_gamma 90.00
_symmetry_space_group_name_H-M 'P 4/m m m'
_symmetry_Int_Tables_number 123
_symmetry_space_group_name_Hall '-P 4 2'
loop_
_atom_site_label
_atom_site_type_symbol
_atom_site_fract_x
_atom_site_fract_y
_atom_site_fract_z
_atom_site_occupancy
Al1 Al 0.000 0.500 0.000 1
Ge1 Ge 0.000 0.000 0.500 1
Bi1 Bi 0.500 0.500 0.500 1
Mo1 Mo 0.000 0.000 0.000 1

***

[3]
# Ce8HC3I4 (PBE-GGA, relaxed)
# * electronic total energy: -5.882 eV/atom
# * spin magnetization: 0.44 μB per atom
# * DOS(E_F): 2.244 states/eV per atom
data_Ce8HC3I4
_cell_length_a 7.6399
_cell_length_b 7.6399
_cell_length_c 23.1085
_cell_angle_alpha 90.00
_cell_angle_beta 90.00
_cell_angle_gamma 120.00
_symmetry_space_group_name_H-M 'R -3 m'
_symmetry_Int_Tables_number 166
_symmetry_space_group_name_Hall '-R 3 2"'
loop_
_atom_site_label
_atom_site_type_symbol
_atom_site_fract_x
_atom_site_fract_y
_atom_site_fract_z
_atom_site_occupancy
Ce1 Ce 0.0000 0.0000 0.2253 1
Ce2 Ce 0.0118 0.5059 0.7753 1
H1 H 0.0000 0.0000 0.5000 1
C1 C 0.0000 0.5000 0.5000 1
I1 I 0.0000 0.0000 0.0000 1
I2 I 0.0000 0.5000 0.0000 1

***

[4]
# KBaLa2 (PBE-GGA, relaxed)
# * electronic total energy: -2.878 eV/atom
# * offset from the most stable computed form: 0.75 eV/f.u.
# * spin magnetization: 0.00 μB per atom
# * DOS(E_F): 1.630 states/eV per atom
# * energy of formation from the pure elements: 1.37 eV per formula unit
data_KBaLa2
_cell_length_a 4.060
_cell_length_b 6.512
_cell_length_c 6.969
_cell_angle_alpha 90.00
_cell_angle_beta 90.00
_cell_angle_gamma 90.00
_symmetry_space_group_name_H-M 'P m m m'
_symmetry_Int_Tables_number 47
loop_
_symmetry_equiv_pos_as_xyz
'x,y,z'
'-x,-y,-z'
'-x,-y,z'
'x,y,-z'
'x,-y,-z'
'-x,y,z'
'-x,y,-z'
'x,-y,z'
loop_
_atom_site_label
_atom_site_type_symbol
_atom_site_fract_x
_atom_site_fract_y
_atom_site_fract_z
_atom_site_occupancy
K1 K 0.000 0.000 0.000 1
Ba1 Ba 0.500 0.500 0.000 1
La1 La 0.000 0.500 0.500 1
La2 La 0.500 0.000 0.500 1

***

Q: Which formula does entry 4 have?
A: KBaLa2

***

What did the third record say?
# Ce8HC3I4 (PBE-GGA, relaxed)
# * electronic total energy: -5.882 eV/atom
# * spin magnetization: 0.44 μB per atom
# * DOS(E_F): 2.244 states/eV per atom
data_Ce8HC3I4
_cell_length_a 7.6399
_cell_length_b 7.6399
_cell_length_c 23.1085
_cell_angle_alpha 90.00
_cell_angle_beta 90.00
_cell_angle_gamma 120.00
_symmetry_space_group_name_H-M 'R -3 m'
_symmetry_Int_Tables_number 166
_symmetry_space_group_name_Hall '-R 3 2"'
loop_
_atom_site_label
_atom_site_type_symbol
_atom_site_fract_x
_atom_site_fract_y
_atom_site_fract_z
_atom_site_occupancy
Ce1 Ce 0.0000 0.0000 0.2253 1
Ce2 Ce 0.0118 0.5059 0.7753 1
H1 H 0.0000 0.0000 0.5000 1
C1 C 0.0000 0.5000 0.5000 1
I1 I 0.0000 0.0000 0.0000 1
I2 I 0.0000 0.5000 0.0000 1

***

Copy entry 3 word for word.
# Ce8HC3I4 (PBE-GGA, relaxed)
# * electronic total energy: -5.882 eV/atom
# * spin magnetization: 0.44 μB per atom
# * DOS(E_F): 2.244 states/eV per atom
data_Ce8HC3I4
_cell_length_a 7.6399
_cell_length_b 7.6399
_cell_length_c 23.1085
_cell_angle_alpha 90.00
_cell_angle_beta 90.00
_cell_angle_gamma 120.00
_symmetry_space_group_name_H-M 'R -3 m'
_symmetry_Int_Tables_number 166
_symmetry_space_group_name_Hall '-R 3 2"'
loop_
_atom_site_label
_atom_site_type_symbol
_atom_site_fract_x
_atom_site_fract_y
_atom_site_fract_z
_atom_site_occupancy
Ce1 Ce 0.0000 0.0000 0.2253 1
Ce2 Ce 0.0118 0.5059 0.7753 1
H1 H 0.0000 0.0000 0.5000 1
C1 C 0.0000 0.5000 0.5000 1
I1 I 0.0000 0.0000 0.0000 1
I2 I 0.0000 0.5000 0.0000 1